(1)
First-principles (GGA-PBE) data for a geometry-optimized Nd2Y3ErTe6 structure, as listed in Alexandria via LeMat-Bulk.

Results
DFT total energy (eV for the cell shown): -68.34
Volume (Å³ per cell): 363
Total magnetic moment (μB/atom): 0.00
E_form (uncorrected) (eV/atom): -1.334

Geometry as POSCAR:
```
Nd2Y3ErTe6
1.0
4.372 0.000 0.000
0.000 8.850 0.349
-2.186 -2.521 9.272
Nd Y Er Te
2 3 1 6
direct
0.829 0.663 0.657
0.171 0.337 0.343
0.500 0.500 0.000
0.826 0.165 0.652
0.174 0.835 0.348
0.500 0.000 0.000
0.338 0.927 0.676
0.662 0.589 0.323
0.662 0.073 0.324
0.997 0.245 0.993
0.003 0.755 0.007
0.338 0.411 0.677
```



(2)
First-principles (GGA-PBE) data for a geometry-optimized AlAs2Ru structure, as listed in Alexandria via LeMat-Bulk.

Results
ΔE_f (meV/atom): 66
DFT total energy (eV for the cell shown): -22.05
Volume (Å³ per cell): 68
Total magnetic moment (μB/atom): 0.00

Geometry as POSCAR:
```
AlAs2Ru
1.0
4.719 0.000 0.000
0.000 3.411 0.004
0.000 0.189 4.206
Ru As Al
1 2 1
direct
0.500 0.250 0.250
0.000 0.012 0.036
0.000 0.488 0.464
0.500 0.750 0.750
```



(3)
First-principles (GGA-PBE) data for a geometry-optimized NaMn2Os2 structure, as listed in Alexandria via LeMat-Bulk.

Results
ΔE_f (meV/atom): 357
DFT total energy (eV for the cell shown): -80.67
Volume (Å³ per cell): 148
Total magnetic moment (μB/atom): 0.45
ΔE to the lowest computed polymorph (eV/atom): 0.000

Geometry as POSCAR:
```
NaMn2Os2
1.0
7.523 0.000 0.000
0.000 7.523 0.000
0.000 0.000 2.611
Na Mn Os
2 4 4
direct
0.000 0.000 0.000
0.500 0.500 0.000
0.162 0.662 0.500
0.662 0.838 0.500
0.838 0.338 0.500
0.338 0.162 0.500
0.372 0.872 0.000
0.872 0.628 0.000
0.628 0.128 0.000
0.128 0.372 0.000
```